(1)
Below is a geometry-optimized Hf2ReHgCl structure, with properties calculated at the PBE level.

Values from the calculation:
The magnetization comes out at 0.00 Bohr magnetons per cell. The value obtained for the raw total energy is -0.4551 Ry per atom.

abc: 5.1182 5.1182 4.6978
angles: 90.00 90.00 90.00
Space group P4/mmm (No. 123)
Asymmetric unit:
Hf 0.0000 0.5000 0.0000 (multiplicity 2)
Re 0.0000 0.0000 0.0000 (multiplicity 1)
Hg 0.5000 0.5000 0.5000 (multiplicity 1)
Cl 0.0000 0.0000 0.5000 (multiplicity 1)

***

(2)
Below is a geometry-optimized ScHgCl structure, with properties calculated at the PBE level.

Values from the calculation:
The magnetization comes out at 1.92 Bohr magnetons per cell. Its energy above the most stable polymorph in this dataset is 0.100 eV/atom.

abc: 3.2670 3.2670 14.2661
angles: 90.00 90.00 90.00
Space group I4mm (No. 107)
Asymmetric unit:
Sc 0.0000 0.0000 0.0000 (multiplicity 2)
Hg 0.0000 0.0000 0.6396 (multiplicity 2)
Cl 0.0000 0.0000 0.3972 (multiplicity 2)

***

(3)
Below is a geometry-optimized ScPPt2 structure, with properties calculated at the PBE level.

Values from the calculation:
The magnetization comes out at 0.00 Bohr magnetons per cell. The value obtained for the raw total energy is -0.4870 Ry per atom.

abc: 4.8529 4.8529 14.1994
angles: 90.00 90.00 90.00
Space group I-42d (No. 122)
Asymmetric unit:
Sc 0.0000 0.0000 0.0000 (multiplicity 4)
P 0.0000 0.0000 0.5000 (multiplicity 4)
Pt 0.1691 0.2500 0.6250 (multiplicity 8)

***

(4)
Below is a geometry-optimized ScTl2Ni structure, with properties calculated at the PBE level.

Values from the calculation:
The magnetization comes out at 0.00 Bohr magnetons per cell. The value obtained for the raw total energy is -0.3016 Ry per atom.

abc: 7.7966 7.7966 5.8929
angles: 90.00 90.00 90.00
Space group I-42d (No. 122)
Asymmetric unit:
Sc 0.0000 0.0000 0.0000 (multiplicity 4)
Tl 0.2011 0.2500 0.6250 (multiplicity 8)
Ni 0.0000 0.0000 0.5000 (multiplicity 4)

***

(5)
Below is a geometry-optimized K5Mg structure, with properties calculated at the PBE level.

Values from the calculation:
The magnetization comes out at 0.00 Bohr magnetons per cell. Its energy above the most stable polymorph in this dataset is 0.169 eV/atom.

abc: 8.0254 8.0254 7.6531
angles: 90.00 90.00 120.00
Space group P6/mmm (No. 191)
Asymmetric unit:
K 0.0000 0.5000 0.0000 (multiplicity 3)
K 0.3333 0.6667 0.5000 (multiplicity 2)
Mg 0.0000 0.0000 0.5000 (multiplicity 1)

***

(6)
Below is a geometry-optimized Tb2TmAl3 structure, with properties calculated at the PBE level.

Values from the calculation:
The magnetization comes out at 0.00 Bohr magnetons per cell. Its energy above the most stable polymorph in this dataset is 0.249 eV/atom.

abc: 11.9161 9.8677 5.1326
angles: 90.00 90.00 90.00
Space group Cmcm (No. 63)
Asymmetric unit:
Tb 0.1393 0.2140 0.2500 (multiplicity 8)
Tm 0.0000 0.3897 0.7500 (multiplicity 4)
Al 0.0000 0.0740 0.7500 (multiplicity 4)
Al 0.2118 0.5000 0.0000 (multiplicity 8)

***

(7)
Below is a geometry-optimized Y2AlCu structure, with properties calculated at the PBE level.

Values from the calculation:
The magnetization comes out at 1.28 Bohr magnetons per cell. The value obtained for the raw total energy is -0.4007 Ry per atom.

abc: 3.4787 4.8958 10.5389
angles: 90.00 90.00 90.00
Space group Imm2 (No. 44)
Asymmetric unit:
Y 0.0000 0.0000 0.0000 (multiplicity 2)
Y 0.0000 0.5000 0.2162 (multiplicity 2)
Al 0.0000 0.5000 0.7916 (multiplicity 2)
Cu 0.0000 0.0000 0.4663 (multiplicity 2)

***

(8)
Below is a geometry-optimized Sc3Sb structure, with properties calculated at the PBE level.

Values from the calculation:
The magnetization comes out at 0.00 Bohr magnetons per cell. Its energy above the most stable polymorph in this dataset is 0.225 eV/atom.

abc: 6.2602 9.0396 3.3032
angles: 90.00 90.00 90.00
Space group Cmmm (No. 65)
Asymmetric unit:
Sc 0.0000 0.0000 0.0000 (multiplicity 2)
Sc 0.2500 0.2500 0.5000 (multiplicity 4)
Sb 0.0000 0.5000 0.0000 (multiplicity 2)

***

> Which of these has the highest magnetization?

ScHgCl

***

> Which of these has the highest magnetization?

ScHgCl

***

> Which value of magnetization does entry 7 give?

1.28 Bohr magnetons per cell

***

> magnetization of number 2 (ScHgCl)?

1.92 Bohr magnetons per cell